Entry from Alexandria via LeMat-Bulk: a relaxed Y2MgCd crystal (GGA-PBEsol). Values from VASP.

Quantum ESPRESSO input file:
```
&SYSTEM
  ibrav = 0, nat = 4, ntyp = 3
/
ATOMIC_SPECIES
Mg 24.30 Mg.upf
Cd 112.41 Cd.upf
Y 88.91 Y.upf
ATOMIC_POSITIONS crystal
Mg 0.500 0.500 0.500
Cd 0.500 0.000 0.000
Y 0.000 0.500 0.000
Y 0.000 0.000 0.500
CELL_PARAMETERS angstrom
3.803 0.000 0.000
0.000 5.195 0.019
0.000 -0.031 5.194
```

Summary:
Formation enthalpy at 0 K = -0.242 eV per atom
Energy = -4.382 eV per atom
SG = No. 65
Density = 5.09 g cm⁻³